Run one
Computed, not measured: a relaxed NaLaB2 crystal at the PBE level of DFT.

Lattice parameters (Å, degrees): 8.8536 8.8536 8.8536 153.12 153.12 38.37
Closest atoms and distances in Å follow each position.
Fractional coordinates of all 8 atoms:
Na 0.3750 0.6250 0.7500  4 B 2.33
Na 0.6250 0.3750 0.2500  4 B 2.33
La 0.1250 0.8750 0.2500  4 Na 2.91, 8 B 3.11
La 0.8750 0.1250 0.7500  4 Na 2.91, 8 B 3.11
B 0.0000 0.5000 0.5000  2 B 2.06
B 0.5000 0.0000 0.0000  2 B 2.06
B 0.5000 0.5000 0.0000  2 B 2.06
B 0.5000 0.5000 0.5000  2 B 2.06

## Properties
- total magnetization (μB per cell) = 0.0
- symmetry = I4_1/amd
- V (A^3/atom) = 17.70

Run two
Computed, not measured: a relaxed NaLaB2 crystal at the PBE level of DFT.

Lattice parameters (Å, degrees): 4.6300 4.6300 4.6300 60.00 60.00 60.00
Closest atoms and distances in Å follow each position.
Fractional coordinates of all 4 atoms:
Na 0.0000 0.0000 0.0000  8 B 2.84
La 0.5000 0.5000 0.5000  8 B 2.84
B 0.2500 0.2500 0.2500  4 La 2.84, 4 Na 2.84
B 0.7500 0.7500 0.7500  4 La 2.84, 4 Na 2.84

## Properties
- total magnetization (μB per cell) = 0.0
- symmetry = Fm-3m
- V (A^3/atom) = 17.55

Quick ranking, most stable first: run two, run one.

Run one
Computed, not measured: a relaxed NaLa2B2 crystal at the PBE level of DFT.

Lattice parameters (Å, degrees): 8.1790 8.1790 3.1431 90.00 90.00 90.00
Closest atoms and distances in Å follow each position.
Fractional coordinates of all 10 atoms:
Na 0.0000 0.0000 0.0000  2 Na 3.14, 4 La 3.18, 8 B 3.45
Na 0.5000 0.5000 0.0000  2 Na 3.14, 4 La 3.18, 8 B 3.45
La 0.1350 0.3650 0.0000  6 B 2.84-2.89, 3 La 3.12-3.14, 2 Na 3.18
La 0.3650 0.8650 0.0000  6 B 2.84-2.89, 3 La 3.12-3.14, 2 Na 3.18
La 0.6350 0.1350 0.0000  6 B 2.84-2.89, 3 La 3.12-3.14, 2 Na 3.18
La 0.8650 0.6350 0.0000  6 B 2.84-2.89, 3 La 3.12-3.14, 2 Na 3.18
B 0.1602 0.6602 0.5000  6 La 2.84-2.89, 2 B 3.14
B 0.3398 0.1602 0.5000  6 La 2.84-2.89, 2 B 3.14
B 0.6602 0.8398 0.5000  6 La 2.84-2.89, 2 B 3.14
B 0.8398 0.3398 0.5000  6 La 2.84-2.89, 2 B 3.14

## Properties
- total magnetization (μB per cell) = 0.0
- symmetry = P4/mbm
- V (A^3/atom) = 21.03

Run two
Computed, not measured: a relaxed NaLa2B2 crystal at the PBE level of DFT.

Lattice parameters (Å, degrees): 9.1395 9.1395 9.1395 154.23 154.23 36.76
Closest atoms and distances in Å follow each position.
Fractional coordinates of all 5 atoms:
Na 0.0000 0.0000 0.0000  8 La 4.00, 4 Na 4.08
La 0.3397 0.3397 0.0000  4 B 2.56
La 0.6603 0.6603 0.0000  4 B 2.56
B 0.2500 0.7500 0.5000  4 La 2.56
B 0.7500 0.2500 0.5000  4 La 2.56

## Properties
- total magnetization (μB per cell) = 0.0
- symmetry = I4/mmm
- V (A^3/atom) = 28.81

Quick ranking, most stable first: run one, run two.

Run one
Computed, not measured: a relaxed LaNb3B crystal at the PBE level of DFT.

Lattice parameters (Å, degrees): 4.8680 4.8680 4.8680 90.00 90.00 90.00
Closest atoms and distances in Å follow each position.
Fractional coordinates of all 5 atoms:
La 0.0000 0.0000 0.0000  6 Nb 2.43
Nb 0.0000 0.0000 0.5000  2 La 2.43
Nb 0.0000 0.5000 0.0000  2 La 2.43
Nb 0.5000 0.0000 0.0000  2 La 2.43
B 0.5000 0.5000 0.5000  12 Nb 3.44

## Properties
- total magnetization (μB per cell) = 0.0
- symmetry = Pm-3m
- V (A^3/atom) = 23.07

Run two
Computed, not measured: a relaxed LaNb3B crystal at the PBE level of DFT.

Lattice parameters (Å, degrees): 4.5932 4.5932 4.5932 90.00 90.00 90.00
Closest atoms and distances in Å follow each position.
Fractional coordinates of all 5 atoms:
La 0.0000 0.0000 0.0000  12 Nb 3.25
Nb 0.0000 0.5000 0.5000  2 B 2.30
Nb 0.5000 0.0000 0.5000  2 B 2.30
Nb 0.5000 0.5000 0.0000  2 B 2.30
B 0.5000 0.5000 0.5000  6 Nb 2.30

## Properties
- total magnetization (μB per cell) = 0.0
- symmetry = Pm-3m
- V (A^3/atom) = 19.38

Quick ranking, most stable first: run two, run one.

Run one
Computed, not measured: a relaxed LaNbB2 crystal at the PBE level of DFT.

Lattice parameters (Å, degrees): 4.4681 4.4681 4.4681 60.00 60.00 60.00
Closest atoms and distances in Å follow each position.
Fractional coordinates of all 4 atoms:
La 0.0000 0.0000 0.0000  8 B 2.74
Nb 0.5000 0.5000 0.5000  8 B 2.74
B 0.2500 0.2500 0.2500  4 La 2.74, 4 Nb 2.74
B 0.7500 0.7500 0.7500  4 Nb 2.74, 4 La 2.74

## Properties
- total magnetization (μB per cell) = 1.2
- symmetry = Fm-3m
- V (A^3/atom) = 15.77

Run two
Computed, not measured: a relaxed LaNbB2 crystal at the PBE level of DFT.

Lattice parameters (Å, degrees): 6.8592 6.8592 6.8592 133.41 133.41 68.00
Closest atoms and distances in Å follow each position.
Fractional coordinates of all 8 atoms:
La 0.0000 0.0000 0.0000  4 B 2.66
La 0.7500 0.2500 0.5000  4 B 2.66
Nb 0.2500 0.7500 0.5000  4 B 2.17
Nb 0.5000 0.5000 0.0000  4 B 2.17
B 0.2066 0.6250 0.0816  2 Nb 2.17
B 0.3750 0.4566 0.5816  2 Nb 2.17
B 0.5434 0.1250 0.9184  2 Nb 2.17
B 0.8750 0.7934 0.4184  2 Nb 2.17

## Properties
- total magnetization (μB per cell) = 0.0
- symmetry = I-42d
- V (A^3/atom) = 20.92

Quick ranking, most stable first: run two, run one.

Run one
Computed, not measured: a relaxed LaNiB2 crystal at the PBE level of DFT.

Lattice parameters (Å, degrees): 7.2606 7.2606 7.2606 145.71 145.71 49.28
Closest atoms and distances in Å follow each position.
Fractional coordinates of all 8 atoms:
La 0.3750 0.6250 0.7500  8 B 2.91, 4 Ni 3.03
La 0.6250 0.3750 0.2500  8 B 2.91, 4 Ni 3.03
Ni 0.1250 0.8750 0.2500  4 B 1.97
Ni 0.8750 0.1250 0.7500  4 B 1.97
B 0.0000 0.0000 0.0000  2 Ni 1.97, 2 B 2.14
B 0.0000 0.0000 0.5000  2 Ni 1.97, 2 B 2.14
B 0.0000 0.5000 0.0000  2 Ni 1.97, 2 B 2.14
B 0.5000 0.0000 0.5000  2 Ni 1.97, 2 B 2.14

## Properties
- total magnetization (μB per cell) = 0.0
- symmetry = I4_1/amd
- V (A^3/atom) = 15.12

Run two
Computed, not measured: a relaxed LaNiB2 crystal at the PBE level of DFT.

Lattice parameters (Å, degrees): 4.3038 4.3038 4.3038 60.00 60.00 60.00
Closest atoms and distances in Å follow each position.
Fractional coordinates of all 4 atoms:
La 0.0000 0.0000 0.0000  8 B 2.64
Ni 0.5000 0.5000 0.5000  8 B 2.64
B 0.2500 0.2500 0.2500  4 La 2.64, 4 Ni 2.64
B 0.7500 0.7500 0.7500  4 La 2.64, 4 Ni 2.64

## Properties
- total magnetization (μB per cell) = 0.0
- symmetry = Fm-3m
- V (A^3/atom) = 14.09

Quick ranking, most stable first: run one, run two.

Run one
Computed, not measured: a relaxed La2NiBPb crystal at the PBE level of DFT.

Lattice parameters (Å, degrees): 5.5988 5.5988 3.8837 90.00 90.00 90.00
Closest atoms and distances in Å follow each position.
Fractional coordinates of all 5 atoms:
La 0.0000 0.5000 0.0000  2 B 2.80
La 0.5000 0.0000 0.0000  2 B 2.80
Ni 0.0000 0.0000 0.5000  2 B 1.94
B 0.0000 0.0000 0.0000  2 Ni 1.94
Pb 0.5000 0.5000 0.5000  8 La 3.41

## Properties
- total magnetization (μB per cell) = 0.0
- symmetry = P4/mmm
- V (A^3/atom) = 24.35

Run two
Computed, not measured: a relaxed La2NiBPb crystal at the PBE level of DFT.

Lattice parameters (Å, degrees): 5.3076 5.3076 4.8405 90.00 90.00 90.00
Closest atoms and distances in Å follow each position.
Fractional coordinates of all 5 atoms:
La 0.0000 0.5000 0.0000  2 Ni 2.65
La 0.5000 0.0000 0.0000  2 Ni 2.65
Ni 0.0000 0.0000 0.0000  2 Pb 2.42, 4 La 2.65
B 0.5000 0.5000 0.5000  8 La 3.59, 4 Pb 3.75
Pb 0.0000 0.0000 0.5000  2 Ni 2.42

## Properties
- total magnetization (μB per cell) = 0.0
- symmetry = P4/mmm
- V (A^3/atom) = 27.27

Quick ranking, most stable first: run one, run two.